A PBEsol-optimized structure of ScAl2Tc, computed with meta-GGA SCAN.

Summary:
energy of formation from the pure elements	-0.4102	eV per atom

a = 3.5293 Å, b = 4.1587 Å, c = 4.2941 Å
α = 90.00°, β = 90.00°, γ = 90.00°
Space group Pmmm (No. 47)
Inequivalent atoms, fractional coordinates:
Sc1 0.0000 0.0000 0.0000 [1 per cell]
Al1 0.0000 0.5000 0.5000 [1 per cell]
Al2 0.5000 0.0000 0.5000 [1 per cell]
Tc1 0.5000 0.5000 0.0000 [1 per cell]


A PBEsol-optimized structure of Ba5Fe, computed with meta-GGA SCAN.

Summary:
energy of formation from the pure elements	0.4630	eV per atom

a = 7.0254 Å, b = 7.0254 Å, c = 6.0723 Å
α = 90.00°, β = 90.00°, γ = 120.00°
Space group P-62m (No. 189)
Inequivalent atoms, fractional coordinates:
Ba1 0.0000 0.6994 0.0000 [3 per cell]
Ba2 0.3333 0.6667 0.5000 [2 per cell]
Fe1 0.0000 0.0000 0.5000 [1 per cell]


A PBEsol-optimized structure of Ba2CuO3, computed with meta-GGA SCAN.

Summary:
energy relative to the elements, uncorrected	-2.1566	eV per atom

a = 3.7972 Å, b = 4.0991 Å, c = 12.9773 Å
α = 90.00°, β = 90.00°, γ = 90.00°
Space group Immm (No. 71)
Inequivalent atoms, fractional coordinates:
Ba1 0.0000 0.0000 0.1456 [4 per cell]
Cu1 0.0000 0.0000 0.5000 [2 per cell]
O1 0.0000 0.0000 0.3527 [4 per cell]
O2 0.0000 0.5000 0.5000 [2 per cell]


no.,magnetization (μB per atom),calculated volume (A^3/atom)
1,0.006,15.8
2,0.465,43.3
3,0.000,16.8